Ac5LaSn6, optimized geometry, DFT PBE; Fermi-level density of states = 10.13 states/eV/cell; E_form = -0.63 eV per atom; M_tot = 0.0 μB/cell
1.0
5.335 -8.043 0.000
5.335 8.043 0.000
-2.710 0.000 4.653
Ac La Sn
5 1 6
Direct
0.000 0.000 0.000
0.168 0.832 0.500
0.334 0.666 0.000
0.666 0.334 0.000
0.832 0.168 0.500
0.500 0.500 0.500
0.088 0.415 0.252
0.253 0.253 0.752
0.415 0.088 0.252
0.585 0.912 0.748
0.747 0.747 0.248
0.912 0.585 0.748


Ac2LaSn2, optimized geometry, DFT PBE; Fermi-level density of states = 11.99 states/eV/cell; E_form = -0.67 eV per atom; M_tot = 0.0 μB/cell
1.0
8.617 0.000 0.000
0.000 8.617 0.000
0.000 0.000 4.870
Ac La Sn
4 2 4
Direct
0.172 0.328 0.000
0.328 0.828 0.000
0.672 0.172 0.000
0.828 0.672 0.000
0.000 0.000 0.500
0.500 0.500 0.500
0.126 0.626 0.500
0.374 0.126 0.500
0.626 0.874 0.500
0.874 0.374 0.500